Compound: Ca5H12Pd2
Source: Alexandria via LeMat-Bulk
Functional: GGA-PBE
Structure: optimized geometry

Calculated values
- Crystal system: monoclinic
- Total DFT energy (no corrections): -3.59 eV per atom
- Total moment: 0.000 μB/atom

Unit cell a=5.861 b=6.711 c=7.206 alpha=105.53 beta=90.00 gamma=115.89
Atoms (fractional coordinates):
Pd1 0.246 0.000 0.000
H1 0.506 0.011 0.845
H2 0.547 0.653 0.908
Pd2 0.754 0.000 0.000
Ca1 0.317 0.635 0.658
H3 0.453 0.347 0.092
Ca2 0.000 0.000 0.500
H4 0.494 0.989 0.155
H5 0.106 0.653 0.908
H6 0.403 0.308 0.572
Ca3 0.699 0.399 0.853
Ca4 0.683 0.365 0.342
H7 0.894 0.347 0.092
Ca5 0.301 0.601 0.147
H8 0.905 0.308 0.572
H9 0.095 0.692 0.428
H10 0.597 0.692 0.428
H11 0.005 0.010 0.850
H12 0.995 0.990 0.150